(1)
A plane-wave DFT calculation with PBE was carried out for a relaxed structure of ScCr2Co.

Cell lengths 4.203, 4.203, 3.196 Å; angles 90.00, 90.00, 90.00 degrees
Last column: magnetic moment on the atom in μB.
Fractional coordinates of all 4 atoms:
Sc 0.500 0.000 0.500  0.09
Co 0.000 0.500 0.500  0.99
Cr 0.000 0.000 0.000  2.00
Cr 0.500 0.500 0.000  2.00

Properties
E above lowest polymorph: 30.0 kJ/mol of atoms
symmetry: P4/mmm
energy of formation: 0.41 eV per atom

(2)
A plane-wave DFT calculation with PBE was carried out for a relaxed structure of Sc2CrCo2.

Cell lengths 6.009, 6.009, 4.229 Å; angles 90.00, 90.00, 90.00 degrees
Last column: magnetic moment on the atom in μB.
Fractional coordinates of all 10 atoms:
Sc 0.179 0.679 0.500  -0.01
Sc 0.679 0.821 0.500  -0.01
Sc 0.821 0.321 0.500  -0.01
Sc 0.321 0.179 0.500  -0.01
Cr 0.000 0.000 0.000  0.09
Cr 0.500 0.500 0.000  0.09
Co 0.137 0.363 0.000  -0.01
Co 0.363 0.863 0.000  -0.02
Co 0.863 0.637 0.000  -0.01
Co 0.637 0.137 0.000  -0.02

Properties
symmetry: P4/mbm
energy of formation: -0.09 eV per atom

(3)
A plane-wave DFT calculation with PBE was carried out for a relaxed structure of Sc2CrCo.

Cell lengths 9.148, 9.148, 9.148 Å; angles 18.76, 18.76, 18.76 degrees
Last column: magnetic moment on the atom in μB.
Fractional coordinates of all 4 atoms:
Sc 0.086 0.086 0.086  -0.04
Sc 0.914 0.914 0.914  -0.04
Co 0.000 0.000 0.000  1.06
Cr 0.500 0.500 0.500  1.88

Properties
symmetry: R-3m
energy of formation: 0.55 eV per atom

(4)
A plane-wave DFT calculation with PBE was carried out for a relaxed structure of Sc2CrCo.

Cell lengths 4.519, 4.519, 3.246 Å; angles 90.00, 90.00, 90.00 degrees
Last column: magnetic moment on the atom in μB.
Fractional coordinates of all 4 atoms:
Sc 0.000 0.000 0.000  -0.05
Sc 0.500 0.500 0.000  -0.05
Cr 0.000 0.500 0.500  2.70
Co 0.500 0.000 0.500  0.24

Properties
symmetry: P4/mmm
energy of formation: -0.01 eV per atom

(5)
A plane-wave DFT calculation with PBE was carried out for a relaxed structure of Sc2CrCo.

Cell lengths 5.515, 5.515, 4.464 Å; angles 66.14, 66.14, 32.98 degrees
Last column: magnetic moment on the atom in μB.
Fractional coordinates of all 4 atoms:
Co 0.518 0.518 0.483  0.76
Sc 0.779 0.779 0.721  -0.16
Sc 0.994 0.994 0.006  -0.28
Cr 0.209 0.209 0.291  2.13

Properties
symmetry: Imm2
energy of formation: 0.01 eV per atom

(6)
A plane-wave DFT calculation with PBE was carried out for a relaxed structure of Sc2CrCo.

Cell lengths 5.382, 5.382, 5.382 Å; angles 138.36, 138.36, 60.35 degrees
Last column: magnetic moment on the atom in μB.
Fractional coordinates of all 4 atoms:
Co 0.500 0.500 0.000  0.80
Sc 0.000 0.000 0.000  -0.20
Sc 0.250 0.750 0.500  -0.05
Cr 0.750 0.250 0.500  3.02

Properties
symmetry: I-4m2
energy of formation: 0.17 eV per atom

(7)
A plane-wave DFT calculation with PBE was carried out for a relaxed structure of ScCr2Co.

Cell lengths 4.892, 4.892, 4.411 Å; angles 63.38, 63.38, 36.74 degrees
Last column: magnetic moment on the atom in μB.
Fractional coordinates of all 4 atoms:
Co 0.264 0.264 0.236  0.81
Sc 0.504 0.504 0.496  -0.03
Cr 0.727 0.727 0.773  1.85
Cr 0.005 0.005 0.995  -1.47

Properties
E above lowest polymorph: 11.6 kJ/mol of atoms
symmetry: Cm
energy of formation: 0.22 eV per atom

(8)
A plane-wave DFT calculation with PBE was carried out for a relaxed structure of ScCrCo3.

Cell lengths 4.198, 4.198, 4.198 Å; angles 90.00, 90.00, 90.00 degrees
Fractional coordinates of all 5 atoms:
Sc 0.500 0.500 0.500
Co 0.500 0.000 0.000
Co 0.000 0.500 0.000
Co 0.000 0.000 0.500
Cr 0.000 0.000 0.000

Properties
E above lowest polymorph: 0.0 kJ/mol of atoms
symmetry: Pm-3m
energy of formation: 0.55 eV per atom

(9)
A plane-wave DFT calculation with PBE was carried out for a relaxed structure of ScCr2Co.

Cell lengths 8.088, 8.088, 8.088 Å; angles 20.32, 20.32, 20.32 degrees
Last column: magnetic moment on the atom in μB.
Fractional coordinates of all 4 atoms:
Cr 0.263 0.263 0.263  -0.29
Cr 0.998 0.998 0.998  0.17
Co 0.742 0.742 0.742  0.88
Sc 0.497 0.497 0.497  -0.03

Properties
E above lowest polymorph: 26.4 kJ/mol of atoms
symmetry: R3m
energy of formation: 0.38 eV per atom

(10)
A plane-wave DFT calculation with PBE was carried out for a relaxed structure of ScCr2Co.

Cell lengths 4.285, 4.285, 4.285 Å; angles 119.97, 119.97, 90.05 degrees
Last column: magnetic moment on the atom in μB.
Fractional coordinates of all 4 atoms:
Cr 0.000 0.000 0.000  2.26
Cr 0.250 0.750 0.500  -2.22
Sc 0.500 0.500 0.000  -0.18
Co 0.750 0.250 0.500  0.59

Properties
E above lowest polymorph: 1.5 kJ/mol of atoms
symmetry: F-43m
energy of formation: 0.12 eV per atom

(11)
A plane-wave DFT calculation with PBE was carried out for a relaxed structure of Sc2CrCo.

Cell lengths 4.537, 4.537, 4.537 Å; angles 60.00, 60.00, 60.00 degrees
Last column: magnetic moment on the atom in μB.
Fractional coordinates of all 4 atoms:
Sc 0.000 0.000 0.000  0.13
Sc 0.250 0.250 0.250  -0.24
Co 0.500 0.500 0.500  0.95
Cr 0.750 0.750 0.750  2.85

Properties
symmetry: F-43m
energy of formation: 0.22 eV per atom

(12)
A plane-wave DFT calculation with PBE was carried out for a relaxed structure of ScCrCo.

Cell lengths 4.248, 4.248, 4.248 Å; angles 60.00, 60.00, 60.00 degrees
Last column: magnetic moment on the atom in μB.
Fractional coordinates of all 3 atoms:
Co 0.000 0.000 0.000  0.21
Cr 0.500 0.500 0.500  3.42
Sc 0.750 0.750 0.750  0.11

Properties
E above lowest polymorph: 79.9 kJ/mol of atoms
symmetry: F-43m
energy of formation: 0.92 eV per atom

| no. | total magnetic moment (μB/atom) |
| --- | --- |
| 1 | 1.332 |
| 2 | 0.012 |
| 3 | 0.745 |
| 4 | 0.758 |
| 5 | 0.586 |
| 6 | 0.930 |
| 7 | 0.295 |
| 8 | 0.000 |
| 9 | 0.172 |
| 10 | 0.088 |
| 11 | 0.944 |
| 12 | 1.365 |